First-principles (PBE) data for a relaxed DyZrInAg crystal, as listed in Alexandria via LeMat-Bulk.

It has space group F-43m (No. 216), with a = 7.208 Å, b = 7.208 Å, c = 7.208 Å, α = 90.00°, β = 90.00° and γ = 90.00°. Symmetry generates all atoms from Dy at (0.000, 0.000, 0.000), Zr at (0.000, 0.000, 0.500), In at (0.250, 0.250, 0.750) and Ag at (0.250, 0.250, 0.250).

The crystal system is cubic. The energy of formation from the pure elements is -213 meV/atom. For the total energy, the calculation gives -4.8976 eV per atom.

First-principles (PBE) data for a relaxed PmPuCdSn crystal, as listed in Alexandria via LeMat-Bulk.

It has space group F-43m (No. 216), with a = 7.632 Å, b = 7.632 Å, c = 7.632 Å, α = 90.00°, β = 90.00° and γ = 90.00°. Symmetry generates all atoms from Pm at (0.000, 0.000, 0.000), Pu at (0.000, 0.000, 0.500), Cd at (0.250, 0.250, 0.750) and Sn at (0.250, 0.250, 0.250).

The crystal system is cubic. The energy of formation from the pure elements is -330 meV/atom. For the total energy, the calculation gives -6.3297 eV per atom.